Density functional theory data (PBE-GGA) for an optimized crystal structure of Ga2Co2Sb.

Geometry as POSCAR:
```
Ga2Co2Sb
1.0
7.142 0.000 0.000
0.000 7.142 0.000
0.000 0.000 2.904
Co Sb Ga
4 2 4
Cartesian
2.455 6.026 0.000
6.026 4.687 0.000
4.687 1.116 0.000
1.116 2.455 0.000
0.000 0.000 0.000
3.571 3.571 0.000
4.553 6.159 1.452
0.983 4.553 1.452
2.588 0.983 1.452
6.159 2.588 1.452
```

Values from the calculation:
Its energy relative to the elements, uncorrected is -0.013 eV per atom. The space group is P4/mbm. The total magnetization is 0.000 μB per cell.

Density functional theory data (PBE-GGA) for an optimized crystal structure of GaCoSb2.

Geometry as POSCAR:
```
GaCoSb2
1.0
-3.725 4.301 1.789
-1.969 -3.530 4.387
1.358 2.526 6.697
Co Ga Sb
2 2 4
Cartesian
-2.847 0.386 3.088
-1.729 -0.309 7.086
-2.607 3.607 5.787
0.000 0.000 0.000
-1.204 2.027 7.533
-3.877 2.726 10.232
-1.522 -0.847 4.719
-2.070 2.688 3.262
```

Values from the calculation:
Its energy relative to the elements, uncorrected is 0.166 eV per atom. The space group is I-42d. The total magnetization is 0.000 μB per cell.

Density functional theory data (PBE-GGA) for an optimized crystal structure of GaCo2Sb.

Geometry as POSCAR:
```
GaCo2Sb
1.0
-2.305 -0.442 3.299
1.231 -3.841 0.345
5.744 0.294 6.539
Co Ga Sb
4 2 2
Cartesian
3.297 -3.307 8.072
3.976 -1.606 6.290
0.282 -0.658 3.550
1.785 -2.408 2.452
3.219 -2.844 4.353
-0.537 -2.142 1.822
0.000 0.000 0.000
1.451 -1.145 5.829
```

Values from the calculation:
Its energy relative to the elements, uncorrected is 0.323 eV per atom. The space group is I-42d. The total magnetization is 4.783 μB per cell. For the energy relative to the lowest polymorph listed for this composition, the calculation gives 289 meV/atom.

Density functional theory data (PBE-GGA) for an optimized crystal structure of ScGa2CoSb.

Geometry as POSCAR:
```
ScGa2CoSb
1.0
4.571 0.000 0.000
0.000 4.838 0.000
0.000 0.000 4.571
Co Ga Sc Sb
1 2 1 1
Cartesian
0.000 0.000 0.000
0.000 0.000 2.286
2.286 0.000 0.000
0.000 2.419 0.000
2.286 2.419 2.286
```

Values from the calculation:
Its energy relative to the elements, uncorrected is -0.240 eV per atom. The space group is P4/mmm. The total magnetization is 0.000 μB per cell. For the energy relative to the lowest polymorph listed for this composition, the calculation gives 0 meV/atom.

Density functional theory data (PBE-GGA) for an optimized crystal structure of ScGa2CoSb.

Geometry as POSCAR:
```
ScGa2CoSb
1.0
-2.552 0.104 -3.637
-3.891 -2.349 2.663
-1.569 3.976 1.214
Co Ga Sc Sb
1 2 1 1
Cartesian
0.000 0.000 0.000
-0.785 1.988 0.607
-1.276 0.052 -1.818
-4.006 0.866 0.120
-1.946 -1.174 1.332
```

Values from the calculation:
Its energy relative to the elements, uncorrected is -0.077 eV per atom. The space group is P4/mmm. The total magnetization is 0.000 μB per cell. For the energy relative to the lowest polymorph listed for this composition, the calculation gives 164 meV/atom.

Density functional theory data (PBE-GGA) for an optimized crystal structure of GaCoSn2Sb.

Geometry as POSCAR:
```
GaCoSn2Sb
1.0
5.033 0.000 0.000
0.000 5.033 0.000
0.000 0.000 4.563
Ga Sb Co Sn
1 1 1 2
Cartesian
0.000 0.000 2.281
2.517 2.517 2.281
0.000 0.000 0.000
2.517 0.000 0.000
0.000 2.517 0.000
```

Values from the calculation:
Its energy relative to the elements, uncorrected is 0.038 eV per atom. The space group is P4/mmm. The total magnetization is 0.000 μB per cell.

Density functional theory data (PBE-GGA) for an optimized crystal structure of GaCoSb2Te.

Geometry as POSCAR:
```
GaCoSb2Te
1.0
-1.586 0.455 4.514
-0.178 -4.785 0.420
5.380 -0.034 1.894
Ga Te Sb Co
1 1 2 1
Cartesian
1.808 -2.182 3.414
2.690 -0.017 0.947
-0.793 0.228 2.257
-0.089 -2.392 0.210
0.000 0.000 0.000
```

Values from the calculation:
Its energy relative to the elements, uncorrected is 0.308 eV per atom. The space group is P4/mmm. The total magnetization is 0.000 μB per cell. For the energy relative to the lowest polymorph listed for this composition, the calculation gives 0 meV/atom.

Density functional theory data (PBE-GGA) for an optimized crystal structure of TlGa2CoSb.

Geometry as POSCAR:
```
TlGa2CoSb
1.0
-2.384 3.881 -1.122
-0.408 -1.527 -4.416
-4.318 -2.307 1.196
Ga Sb Co Tl
2 1 1 1
Cartesian
-1.192 1.940 -0.561
-0.204 -0.764 -2.208
-2.159 -1.153 0.598
0.000 0.000 0.000
-3.555 0.023 -2.171
```

Values from the calculation:
Its energy relative to the elements, uncorrected is 0.013 eV per atom. The space group is P4/mmm. The total magnetization is 0.000 μB per cell.

Density functional theory data (PBE-GGA) for an optimized crystal structure of TlGaCo2Sb.

Geometry as POSCAR:
```
TlGaCo2Sb
1.0
-1.386 2.276 -3.953
1.807 -4.593 -3.278
-4.324 -1.973 0.380
Ga Co Tl Sb
1 2 1 1
Cartesian
-1.951 -2.145 -3.426
-0.693 1.138 -1.977
-2.162 -0.986 0.190
0.904 -2.296 -1.639
0.000 0.000 0.000
```

Values from the calculation:
Its energy relative to the elements, uncorrected is 0.957 eV per atom. The space group is P4/mmm. The total magnetization is 2.876 μB per cell.

Density functional theory data (PBE-GGA) for an optimized crystal structure of Sc2Ga2Co.

Geometry as POSCAR:
```
Sc2Ga2Co
1.0
5.444 0.000 0.000
0.000 5.759 0.000
-2.722 -2.879 5.723
Ga Co Sc
4 2 4
Cartesian
0.000 4.762 0.906
2.722 -1.883 4.817
0.000 1.883 4.817
2.722 0.997 0.906
4.083 2.879 0.000
1.361 2.879 0.000
0.000 -1.161 3.858
2.722 4.041 1.865
0.000 1.718 1.865
2.722 1.161 3.858
```

Values from the calculation:
The space group is Ibam. The total magnetization is 0.000 μB per cell. The calculation puts the formation energy from the elements at -0.4549 eV/atom.

Density functional theory data (PBE-GGA) for an optimized crystal structure of Sc4Ga12Co.

Geometry as POSCAR:
```
Sc4Ga12Co
1.0
0.223 -2.952 6.571
-2.216 6.839 0.513
-4.585 -3.707 -4.144
Ga Co Sc
12 1 4
Cartesian
-1.232 -1.881 0.685
-3.881 -2.546 0.305
-1.921 0.885 -1.026
-3.130 -4.778 1.741
-1.430 2.789 5.083
-3.899 2.538 -0.045
-0.563 1.098 2.001
-2.679 -2.358 2.984
-2.697 2.726 2.634
-2.087 0.279 4.148
-4.880 2.247 -2.606
-4.491 -0.099 -1.209
0.000 0.000 0.000
-3.289 0.090 1.470
0.112 -1.476 3.285
-1.108 3.419 0.256
-2.293 -1.853 -2.072
```

Values from the calculation:
The space group is Im-3m. The total magnetization is 0.000 μB per cell. The calculation puts the formation energy from the elements at -0.5000 eV/atom.

Density functional theory data (PBE-GGA) for an optimized crystal structure of Sc4Ga3Co.

Geometry as POSCAR:
```
Sc4Ga3Co
1.0
-0.215 1.393 2.924
-1.478 -2.649 1.154
12.130 -5.285 3.408
Co Ga Sc
1 3 4
Cartesian
-0.846 -0.628 2.039
5.218 -3.270 3.743
2.051 -1.891 2.853
8.385 -4.650 4.632
10.795 -4.703 3.033
1.335 -0.582 0.375
4.473 -1.949 1.257
7.656 -3.336 2.151
```

Values from the calculation:
The space group is P4/mmm. The total magnetization is 0.546 μB per cell. For the energy relative to the lowest polymorph listed for this composition, the calculation gives 0 meV/atom. The calculation puts the formation energy from the elements at -0.5530 eV/atom.

What did the third record say?
Density functional theory data (PBE-GGA) for an optimized crystal structure of GaCo2Sb.

Geometry as POSCAR:
```
GaCo2Sb
1.0
-2.305 -0.442 3.299
1.231 -3.841 0.345
5.744 0.294 6.539
Co Ga Sb
4 2 2
Cartesian
3.297 -3.307 8.072
3.976 -1.606 6.290
0.282 -0.658 3.550
1.785 -2.408 2.452
3.219 -2.844 4.353
-0.537 -2.142 1.822
0.000 0.000 0.000
1.451 -1.145 5.829
```

Values from the calculation:
Its energy relative to the elements, uncorrected is 0.323 eV per atom. The space group is I-42d. The total magnetization is 4.783 μB per cell. For the energy relative to the lowest polymorph listed for this composition, the calculation gives 289 meV/atom.